(1)
The following is a PBE calculation of ZrTa2TlRh after structural relaxation, from Alexandria via LeMat-Bulk. Values from VASP.

The structure in Quantum ESPRESSO input format:
```
&SYSTEM
  ibrav = 0, nat = 5, ntyp = 4
/
ATOMIC_SPECIES
Tl 204.38 Tl.upf
Rh 102.91 Rh.upf
Zr 91.22 Zr.upf
Ta 180.95 Ta.upf
CELL_PARAMETERS angstrom
5.030 0.000 0.000
0.000 4.766 0.000
0.000 0.000 5.030
ATOMIC_POSITIONS crystal
Tl 0.500 0.500 0.500
Rh 0.000 0.500 0.000
Zr 0.000 0.000 0.000
Ta 0.000 0.000 0.500
Ta 0.500 0.000 0.000
```

Computed properties:
The space group is P4/mmm (123). Its uncorrected energy is -6.8686 eV per atom. The calculation puts the density of states at the Fermi level at 0.57 states/eV/atom. For the magnetization, the calculation gives 0.000 μB per cell.


(2)
The following is a PBE calculation of TmTaRh after structural relaxation, from Alexandria via LeMat-Bulk. Values from VASP.

The structure in Quantum ESPRESSO input format:
```
&SYSTEM
  ibrav = 0, nat = 6, ntyp = 3
/
ATOMIC_SPECIES
Ta 180.95 Ta.upf
Rh 102.91 Rh.upf
Tm 168.93 Tm.upf
CELL_PARAMETERS angstrom
4.480 0.000 0.380
0.000 4.496 0.000
-0.550 0.000 6.461
ATOMIC_POSITIONS crystal
Ta 0.250 0.250 0.500
Ta 0.750 0.750 0.500
Rh 0.750 0.250 0.305
Rh 0.250 0.750 0.695
Tm 0.750 0.250 0.865
Tm 0.250 0.750 0.135
```

Computed properties:
The space group is P4/nmm (129). Its uncorrected energy is -8.2963 eV per atom. The calculation puts the density of states at the Fermi level at 1.18 states/eV/atom. For the magnetization, the calculation gives 0.000 μB per cell.


(3)
The following is a PBE calculation of Tm2Ta2ZnRh5 after structural relaxation, from Alexandria via LeMat-Bulk. Values from VASP.

The structure in Quantum ESPRESSO input format:
```
&SYSTEM
  ibrav = 0, nat = 20, ntyp = 4
/
ATOMIC_SPECIES
Tm 168.93 Tm.upf
Ta 180.95 Ta.upf
Zn 65.41 Zn.upf
Rh 102.91 Rh.upf
CELL_PARAMETERS angstrom
-0.190 3.107 -0.517
-0.047 -1.754 -10.517
-10.643 -0.626 0.152
ATOMIC_POSITIONS crystal
Tm 0.000 0.666 0.166
Tm 0.000 0.334 0.834
Tm 0.000 0.166 0.334
Tm 0.000 0.834 0.666
Ta 0.000 0.141 0.641
Ta 0.000 0.859 0.359
Ta 0.000 0.641 0.859
Ta 0.000 0.359 0.141
Zn 0.000 0.000 0.000
Zn 0.000 0.500 0.500
Rh 0.500 0.191 0.056
Rh 0.500 0.809 0.944
Rh 0.500 0.056 0.809
Rh 0.500 0.691 0.444
Rh 0.500 0.944 0.191
Rh 0.500 0.309 0.556
Rh 0.500 0.556 0.691
Rh 0.500 0.444 0.309
Rh 0.500 0.500 0.000
Rh 0.500 0.000 0.500
```

Computed properties:
The space group is P4/mbm (127). Its uncorrected energy is -7.4953 eV per atom. The calculation puts the density of states at the Fermi level at 0.67 states/eV/atom. For the magnetization, the calculation gives 0.000 μB per cell.


(4)
The following is a PBE calculation of UTaRh2 after structural relaxation, from Alexandria via LeMat-Bulk. Values from VASP.

The structure in Quantum ESPRESSO input format:
```
&SYSTEM
  ibrav = 0, nat = 4, ntyp = 3
/
ATOMIC_SPECIES
Rh 102.91 Rh.upf
U 238.03 U.upf
Ta 180.95 Ta.upf
CELL_PARAMETERS angstrom
2.916 0.000 0.000
0.000 2.916 0.000
0.000 0.000 7.992
ATOMIC_POSITIONS crystal
Rh 0.000 0.000 0.759
Rh 0.000 0.000 0.241
U 0.500 0.500 0.500
Ta 0.500 0.500 0.000
```

Computed properties:
The space group is P4/mmm (123). Its uncorrected energy is -9.8169 eV per atom. The calculation puts the density of states at the Fermi level at 1.28 states/eV/atom. For the magnetization, the calculation gives 0.066 μB per cell.


(5)
The following is a PBE calculation of UTaRh after structural relaxation, from Alexandria via LeMat-Bulk. Values from VASP.

The structure in Quantum ESPRESSO input format:
```
&SYSTEM
  ibrav = 0, nat = 12, ntyp = 3
/
ATOMIC_SPECIES
Rh 102.91 Rh.upf
U 238.03 U.upf
Ta 180.95 Ta.upf
CELL_PARAMETERS angstrom
-0.672 1.550 -2.441
-4.595 -3.060 -2.481
-8.919 8.019 5.741
ATOMIC_POSITIONS crystal
Rh 0.188 0.500 0.623
Rh 0.312 0.500 0.377
Rh 0.562 0.000 0.877
Rh 0.438 0.000 0.123
U 0.599 0.500 0.801
U 0.901 0.500 0.199
U 0.151 0.000 0.699
U 0.849 0.000 0.301
Ta 0.895 0.210 0.500
Ta 0.605 0.790 0.500
Ta 0.855 0.290 0.000
Ta 0.145 0.710 0.000
```

Computed properties:
The space group is Fddd (70). Its uncorrected energy is -10.2359 eV per atom. The calculation puts the density of states at the Fermi level at 1.58 states/eV/atom. For the magnetization, the calculation gives 10.607 μB per cell.


(6)
The following is a PBE calculation of Ta2VRh5 after structural relaxation, from Alexandria via LeMat-Bulk. Values from VASP.

The structure in Quantum ESPRESSO input format:
```
&SYSTEM
  ibrav = 0, nat = 16, ntyp = 3
/
ATOMIC_SPECIES
Ta 180.95 Ta.upf
V 50.94 V.upf
Rh 102.91 Rh.upf
CELL_PARAMETERS angstrom
-0.014 -0.503 3.926
4.438 -3.234 -0.399
6.492 8.770 1.145
ATOMIC_POSITIONS crystal
Ta 0.500 0.285 0.366
Ta 0.500 0.715 0.634
Ta 0.500 0.215 0.866
Ta 0.500 0.785 0.134
V 0.000 0.000 0.500
V 0.000 0.500 0.000
Rh 0.500 0.277 0.116
Rh 0.500 0.723 0.884
Rh 0.500 0.777 0.384
Rh 0.500 0.223 0.616
Rh 0.000 0.967 0.745
Rh 0.000 0.033 0.255
Rh 0.000 0.467 0.755
Rh 0.000 0.533 0.245
Rh 0.000 0.500 0.500
Rh 0.000 0.000 0.000
```

Computed properties:
The space group is Pbam (55). Its uncorrected energy is -9.2241 eV per atom. The calculation puts the density of states at the Fermi level at 0.73 states/eV/atom. For the magnetization, the calculation gives 3.179 μB per cell.


(7)
The following is a PBE calculation of Ta2VRh after structural relaxation, from Alexandria via LeMat-Bulk. Values from VASP.

The structure in Quantum ESPRESSO input format:
```
&SYSTEM
  ibrav = 0, nat = 4, ntyp = 3
/
ATOMIC_SPECIES
Ta 180.95 Ta.upf
V 50.94 V.upf
Rh 102.91 Rh.upf
CELL_PARAMETERS angstrom
-0.259 -3.303 -4.817
-3.313 0.033 4.817
-1.182 4.878 2.999
ATOMIC_POSITIONS crystal
Ta 0.000 0.259 0.259
Ta 0.000 0.741 0.741
V 0.000 0.000 0.000
Rh 0.000 0.500 0.500
```

Computed properties:
The space group is Immm (71). Its uncorrected energy is -9.5449 eV per atom. The calculation puts the density of states at the Fermi level at 1.15 states/eV/atom. For the magnetization, the calculation gives 0.000 μB per cell.


(8)
The following is a PBE calculation of Ta4V4Rh after structural relaxation, from Alexandria via LeMat-Bulk. Values from VASP.

The structure in Quantum ESPRESSO input format:
```
&SYSTEM
  ibrav = 0, nat = 9, ntyp = 3
/
ATOMIC_SPECIES
Ta 180.95 Ta.upf
V 50.94 V.upf
Rh 102.91 Rh.upf
CELL_PARAMETERS angstrom
-1.797 4.269 1.351
-3.239 -2.135 -6.172
-4.213 -2.103 1.053
ATOMIC_POSITIONS crystal
Ta 0.047 0.626 0.422
Ta 0.578 0.626 0.953
Ta 0.422 0.374 0.578
Ta 0.952 0.374 0.048
V 0.385 0.154 0.231
V 0.769 0.154 0.615
V 0.232 0.846 0.768
V 0.615 0.846 0.385
Rh 0.000 0.000 0.000
```

Computed properties:
The space group is I-42m (121). Its uncorrected energy is -9.9051 eV per atom. The calculation puts the density of states at the Fermi level at 0.96 states/eV/atom. For the magnetization, the calculation gives 0.000 μB per cell.


(9)
The following is a PBE calculation of TaV4Rh7 after structural relaxation, from Alexandria via LeMat-Bulk. Values from VASP.

The structure in Quantum ESPRESSO input format:
```
&SYSTEM
  ibrav = 0, nat = 12, ntyp = 3
/
ATOMIC_SPECIES
Ta 180.95 Ta.upf
V 50.94 V.upf
Rh 102.91 Rh.upf
CELL_PARAMETERS angstrom
-3.404 -1.547 -2.745
1.327 -7.916 -1.101
-4.350 -2.323 2.783
ATOMIC_POSITIONS crystal
Ta 0.000 0.000 0.000
V 0.585 0.232 0.598
V 0.415 0.768 0.402
V 0.735 0.672 0.857
V 0.265 0.328 0.143
Rh 0.783 0.908 0.525
Rh 0.217 0.092 0.475
Rh 0.064 0.652 0.219
Rh 0.936 0.348 0.781
Rh 0.352 0.555 0.741
Rh 0.500 0.000 0.000
Rh 0.648 0.445 0.259
```

Computed properties:
The space group is C2/m (12). Its uncorrected energy is -8.3298 eV per atom. The calculation puts the density of states at the Fermi level at 0.89 states/eV/atom. For the magnetization, the calculation gives 0.000 μB per cell.


(10)
The following is a PBE calculation of TaV4Rh after structural relaxation, from Alexandria via LeMat-Bulk. Values from VASP.

The structure in Quantum ESPRESSO input format:
```
&SYSTEM
  ibrav = 0, nat = 6, ntyp = 3
/
ATOMIC_SPECIES
V 50.94 V.upf
Rh 102.91 Rh.upf
Ta 180.95 Ta.upf
CELL_PARAMETERS angstrom
-2.667 1.023 -4.058
1.792 -1.113 -4.492
-2.023 -3.688 -2.635
ATOMIC_POSITIONS crystal
V 0.626 0.626 0.122
V 0.626 0.122 0.626
V 0.626 0.626 0.626
V 0.122 0.626 0.626
Rh 0.250 0.250 0.250
Ta 0.000 0.000 0.000
```

Computed properties:
The space group is F-43m (216). Its uncorrected energy is -9.3463 eV per atom. The calculation puts the density of states at the Fermi level at 1.20 states/eV/atom. For the magnetization, the calculation gives 0.000 μB per cell.


(11)
The following is a PBE calculation of TaVRh3 after structural relaxation, from Alexandria via LeMat-Bulk. Values from VASP.

The structure in Quantum ESPRESSO input format:
```
&SYSTEM
  ibrav = 0, nat = 5, ntyp = 3
/
ATOMIC_SPECIES
Ta 180.95 Ta.upf
Rh 102.91 Rh.upf
V 50.94 V.upf
CELL_PARAMETERS angstrom
-1.459 4.191 -0.067
-0.984 -0.274 4.319
4.074 1.434 1.019
ATOMIC_POSITIONS crystal
Ta 0.500 0.500 0.500
Rh 0.000 0.500 0.000
Rh 0.000 0.000 0.500
Rh 0.500 0.000 0.000
V 0.000 0.000 0.000
```

Computed properties:
The space group is Pm-3m (221). Its uncorrected energy is -7.8508 eV per atom. The calculation puts the density of states at the Fermi level at 1.74 states/eV/atom. For the magnetization, the calculation gives 0.746 μB per cell. The offset from the most stable computed form comes out at 0.878 eV/atom.